[1]
A plane-wave DFT calculation with PBE-GGA was carried out for PaNi5P2 after structural relaxation.

```
PaNi5P2
1.0
3.706 0.000 0.000
1.853 5.452 0.379
1.853 1.374 5.290
Ni P Pa
5 2 1
direct
0.352 0.455 0.840
0.648 0.545 0.160
0.000 0.500 0.500
0.352 0.840 0.455
0.648 0.160 0.545
0.244 0.256 0.256
0.756 0.744 0.744
0.000 0.000 0.000
```

Calculated values
Calculated formation energy ... -0.667 eV/atom
Crystal system ... orthorhombic

[2]
A plane-wave DFT calculation with PBE-GGA was carried out for CdSn3Pd4 after structural relaxation.

```
CdSn3Pd4
1.0
-3.250 6.362 1.008
-3.294 -2.498 5.144
5.643 2.145 4.656
Sn Pd Cd
6 8 2
direct
0.535 0.368 0.720
0.035 0.632 0.220
0.035 0.632 0.780
0.029 0.261 0.500
0.535 0.368 0.280
0.529 0.739 0.000
0.184 0.268 0.812
0.684 0.732 0.312
0.996 0.861 0.500
0.684 0.732 0.688
0.185 0.894 0.000
0.685 0.106 0.500
0.184 0.268 0.188
0.496 0.139 0.000
0.366 0.871 0.500
0.866 0.129 0.000
```

Calculated values
Calculated formation energy ... -0.234 eV/atom
Crystal system ... orthorhombic

[3]
A plane-wave DFT calculation with PBE-GGA was carried out for RbScOs2 after structural relaxation.

```
RbScOs2
1.0
4.678 0.000 0.000
0.000 4.678 0.000
2.339 2.339 9.471
Sc Rb Os
2 2 4
direct
0.500 0.500 0.000
0.250 0.750 0.500
0.000 0.000 0.000
0.750 0.250 0.500
0.875 0.531 0.750
0.469 0.625 0.250
0.375 0.719 0.750
0.281 0.125 0.250
```

Calculated values
Calculated formation energy ... 1.205 eV/atom
Crystal system ... tetragonal

[4]
A plane-wave DFT calculation with PBE-GGA was carried out for CdTcBr2 after structural relaxation.

```
CdTcBr2
1.0
-5.416 3.838 -5.722
0.127 -7.222 -4.964
-4.843 -2.697 -3.936
Br Tc Cd
4 2 2
direct
0.262 0.625 0.250
0.488 0.125 0.250
0.875 0.738 0.750
0.375 0.512 0.750
0.250 0.750 0.500
0.500 0.500 0.000
0.750 0.250 0.500
0.000 0.000 0.000
```

Calculated values
Formation energy from raw total energies ... 0.21 eV per atom
Crystal system ... tetragonal

[5]
A plane-wave DFT calculation with PBE-GGA was carried out for Na3SnTe2 after structural relaxation.

```
Na3SnTe2
1.0
-6.656 3.298 2.421
-2.933 -6.184 0.361
7.113 0.770 5.899
Na Te Sn
6 4 2
direct
0.230 0.980 0.460
0.770 0.520 0.540
0.500 0.750 0.000
0.770 0.020 0.540
0.230 0.480 0.460
0.500 0.250 0.000
0.573 0.362 0.725
0.152 0.862 0.725
0.848 0.138 0.275
0.427 0.638 0.275
0.000 0.000 0.000
0.000 0.500 0.000
```

Calculated values
Formation energy from raw total energies ... -0.55 eV per atom
Crystal system ... orthorhombic

[6]
A plane-wave DFT calculation with PBE-GGA was carried out for Mg2Sc5Pd2Pt after structural relaxation.

```
Mg2Sc5Pd2Pt
1.0
-3.190 -0.264 1.189
-3.664 -2.102 -10.295
1.529 -10.894 1.680
Mg Pd Sc Pt
4 4 10 2
direct
0.000 0.675 0.175
0.000 0.175 0.325
0.000 0.325 0.825
0.000 0.825 0.675
0.000 0.134 0.634
0.000 0.866 0.366
0.000 0.366 0.134
0.000 0.634 0.866
0.500 0.309 0.566
0.500 0.434 0.309
0.500 0.066 0.809
0.500 0.691 0.434
0.500 0.934 0.191
0.500 0.809 0.934
0.500 0.566 0.691
0.500 0.191 0.066
0.500 0.000 0.500
0.500 0.500 0.000
0.000 0.000 0.000
0.000 0.500 0.500
```

Calculated values
Calculated formation energy ... -0.638 eV/atom
Crystal system ... tetragonal

[7]
A plane-wave DFT calculation with PBE-GGA was carried out for MnCuCl2 after structural relaxation.

```
MnCuCl2
1.0
-7.237 -1.866 -7.137
-4.402 -2.352 -9.049
-5.644 -4.930 -7.115
Mn Cl Cu
1 2 1
direct
0.750 0.750 0.750
0.466 0.466 0.466
0.034 0.034 0.034
0.250 0.250 0.250
```

Calculated values
Formation energy from raw total energies ... -0.21 eV per atom
Crystal system ... trigonal

[8]
A plane-wave DFT calculation with PBE-GGA was carried out for PmPaP after structural relaxation.

```
PmPaP
1.0
-2.056 -0.302 2.825
-0.223 -3.460 -0.532
6.031 1.033 2.322
Pm Pa P
1 1 1
direct
0.306 0.306 0.611
0.038 0.038 0.077
0.656 0.656 0.312
```

Calculated values
Calculated formation energy ... -0.520 eV/atom
Crystal system ... tetragonal

[9]
A plane-wave DFT calculation with PBE-GGA was carried out for MoC after structural relaxation.

```
MoC
1.0
2.940 0.000 0.000
0.000 2.940 0.000
0.000 0.000 3.023
C Mo
1 1
direct
0.000 0.000 0.000
0.500 0.500 0.000
```

Calculated values
Calculated formation energy ... 0.736 eV/atom
Crystal system ... tetragonal

[10]
A plane-wave DFT calculation with PBE-GGA was carried out for KSr2Ca after structural relaxation.

```
KSr2Ca
1.0
4.202 0.000 0.000
2.101 3.639 0.000
2.101 1.213 14.202
Sr K Ca
2 1 1
direct
0.257 0.257 0.230
0.077 0.077 0.770
0.500 0.500 0.500
0.667 0.667 0.000
```

Calculated values
Calculated formation energy ... 0.066 eV/atom
Crystal system ... trigonal

[11]
A plane-wave DFT calculation with PBE-GGA was carried out for GaGe2Pb2 after structural relaxation.

```
GaGe2Pb2
1.0
3.753 0.000 0.000
0.000 3.753 0.000
1.877 1.877 9.038
Pb Ga Ge
2 1 2
direct
0.398 0.398 0.204
0.602 0.602 0.796
0.000 0.000 0.000
0.750 0.250 0.500
0.250 0.750 0.500
```

Calculated values
Calculated formation energy ... 0.186 eV/atom
Crystal system ... tetragonal

[12]
A plane-wave DFT calculation with PBE-GGA was carried out for AsNCl2 after structural relaxation.

```
AsNCl2
1.0
-7.518 -3.794 4.482
-6.338 -1.650 6.936
-8.429 -0.450 4.445
Cl As N
2 1 1
direct
0.919 0.919 0.919
0.081 0.081 0.081
0.000 0.000 0.000
0.500 0.500 0.500
```

Calculated values
Formation energy from raw total energies ... 1.28 eV per atom
Crystal system ... trigonal

These records have volume values of 13.119, 22.689, 25.909, 26.856, 34.272, 21.143, 26.187, 24.837, 13.064, 54.300, 25.462, 24.265 Å³ per atom, in the order they appear.